Entry 1:
The following is a DFT calculation (GGA-PBE) of Tb4Rh2Pb5 after structural relaxation.

E_tot in eV/atom: -5.2788
Size of the total moment in μB/atom: 0.000
Calculated formation energy in eV/atom: -0.573

Cell: 8.0891 3.6435 9.8234 Å, 90.00 93.50 90.00°
Last column: nearest neighbours and their distance in Å.
Atoms (fractional coordinates):
Tb 0.1984 0.0000 0.3394  2 Rh 2.82
Tb 0.1998 0.0000 0.9297  4 Rh 2.92-2.97
Tb 0.8002 0.0000 0.0703  4 Rh 2.92-2.97
Tb 0.8016 0.0000 0.6606  2 Rh 2.82
Rh 0.0841 0.5000 0.1363  6 Tb 2.82-2.97, 1 Rh 2.93, 2 Pb 2.99-3.02
Rh 0.9159 0.5000 0.8637  6 Tb 2.82-2.97, 1 Rh 2.93, 2 Pb 2.99-3.02
Pb 0.1400 0.5000 0.6332  1 Rh 2.99, 1 Pb 3.26, 2 Tb 3.31
Pb 0.4584 0.5000 0.1611  1 Rh 3.02, 2 Pb 3.28-3.33, 2 Tb 3.36
Pb 0.5000 0.5000 0.5000  6 Pb 3.26-3.64, 4 Tb 3.36
Pb 0.5416 0.5000 0.8389  1 Rh 3.02, 2 Pb 3.28-3.33, 2 Tb 3.36
Pb 0.8600 0.5000 0.3668  1 Rh 2.99, 1 Pb 3.26, 2 Tb 3.31

Entry 2:
The following is a DFT calculation (GGA-PBE) of ScAs2CBr after structural relaxation.

E_tot in eV/atom: -4.7004
Energy relative to the lowest polymorph listed for this composition in kcal/mol of atoms: 0.00
Size of the total moment in μB/atom: 0.030
E_form (uncorrected) in kcal/mol of atoms: 13.95

Cell: 4.3038 4.3038 5.0029 Å, 90.00 90.00 90.00°
Last column: nearest neighbours and their distance in Å.
Atoms (fractional coordinates):
Sc 0.0000 0.0000 0.0000  4 Br 3.04, 8 As 3.30
As 0.0000 0.5000 0.5000  2 C 2.15
As 0.5000 0.0000 0.5000  2 C 2.15
C 0.5000 0.5000 0.5000  4 As 2.15
Br 0.5000 0.5000 0.0000  2 C 2.50

Entry 3:
The following is a DFT calculation (GGA-PBE) of NdYPd after structural relaxation.

E_tot in eV/atom: -5.8395
Energy relative to the lowest polymorph listed for this composition in kcal/mol of atoms: 4.38
Size of the total moment in μB/atom: 0.000
Calculated formation energy in eV/atom: -0.365

Cell: 4.8196 4.8196 3.9841 Å, 90.00 90.00 120.00°
Last column: nearest neighbours and their distance in Å.
Atoms (fractional coordinates):
Nd 0.0000 0.0000 0.0000  3 Pd 3.08, 3 Y 3.34
Y 0.3333 0.6667 0.4650  3 Pd 2.90
Pd 0.6667 0.3333 0.6693  3 Y 2.90, 3 Nd 3.08

Entry 4:
The following is a DFT calculation (GGA-PBE) of Ba2MgTa after structural relaxation.

E_tot in eV/atom: -3.4519
Size of the total moment in μB/atom: 0.042
Calculated formation energy in eV/atom: 0.871

Cell: 6.1597 6.1597 3.5408 Å, 90.00 90.00 90.08°
Last column: nearest neighbours and their distance in Å.
Atoms (fractional coordinates):
Ba 0.0000 0.5000 0.0000  2 Ba 3.54, 4 Ta 3.55, 4 Mg 3.55
Ba 0.5000 0.0000 0.0000  2 Ba 3.54, 4 Ta 3.55, 4 Mg 3.55
Mg 0.0000 0.0000 0.5000  2 Mg 3.54, 8 Ba 3.55
Ta 0.5000 0.5000 0.5000  2 Ta 3.54, 8 Ba 3.55

Entry 5:
The following is a DFT calculation (GGA-PBE) of IrRu3 after structural relaxation.

E_tot in eV/atom: -6.7127
Size of the total moment in μB/atom: 0.694
Calculated formation energy in eV/atom: 2.459

Cell: 4.7404 4.7404 4.7404 Å, 90.00 90.00 90.00°
Last column: nearest neighbours and their distance in Å.
Atoms (fractional coordinates):
Ir 0.0000 0.0000 0.0000  6 Ru 2.37
Ru 0.0000 0.0000 0.5000  2 Ir 2.37
Ru 0.0000 0.5000 0.0000  2 Ir 2.37
Ru 0.5000 0.0000 0.0000  2 Ir 2.37

Entry 6:
The following is a DFT calculation (GGA-PBE) of PmSm2F8 after structural relaxation.

E_tot in eV/atom: -6.5246
Size of the total moment in μB/atom: 0.081
E_form (uncorrected) in kcal/mol of atoms: -89.33

Cell: 7.9073 7.9073 5.7725 Å, 110.04 110.04 27.03°
Last column: nearest neighbours and their distance in Å.
Atoms (fractional coordinates):
Pm 0.0000 0.0000 0.0000  6 F 2.46-2.50
Sm 0.3215 0.3215 0.3194  9 F 2.29-2.45
Sm 0.6785 0.6785 0.6806  9 F 2.29-2.45
F 0.0990 0.0990 0.4400  2 Sm 2.37, 1 Pm 2.46, 1 F 2.62
F 0.1790 0.1790 0.9599  3 Sm 2.43-2.45, 5 F 2.63-2.71
F 0.2790 0.2790 0.6727  3 Sm 2.35-2.42, 2 F 2.62-2.63
F 0.4538 0.4538 0.2249  1 Sm 2.29, 2 Pm 2.50
F 0.5462 0.5462 0.7751  1 Sm 2.29, 2 Pm 2.50
F 0.7210 0.7210 0.3273  3 Sm 2.35-2.42, 2 F 2.62-2.63
F 0.8210 0.8210 0.0401  3 Sm 2.43-2.45, 5 F 2.63-2.71
F 0.9010 0.9010 0.5600  2 Sm 2.37, 1 Pm 2.46, 1 F 2.62

Entry 7:
The following is a DFT calculation (GGA-PBE) of CsLiZrAs2 after structural relaxation.

E_tot in eV/atom: -2.8318
Size of the total moment in μB/atom: 0.005
Calculated formation energy in eV/atom: 1.291

Cell: 5.6507 5.6507 4.5038 Å, 90.00 90.00 90.00°
Last column: nearest neighbours and their distance in Å.
Atoms (fractional coordinates):
Cs 0.0000 0.0000 0.0000  2 Li 2.25
Li 0.0000 0.0000 0.5000  2 Cs 2.25
Zr 0.5000 0.5000 0.5000  8 As 3.61, 4 Li 4.00
As 0.0000 0.5000 0.0000  2 Cs 2.83
As 0.5000 0.0000 0.0000  2 Cs 2.83

Entry 8:
The following is a DFT calculation (GGA-PBE) of NbGaH3 after structural relaxation.

E_tot in eV/atom: -4.4334
Energy relative to the lowest polymorph listed for this composition in kcal/mol of atoms: 0.00
Size of the total moment in μB/atom: 0.000

Cell: 3.6543 3.6543 3.6543 Å, 90.00 90.00 90.00°
Last column: nearest neighbours and their distance in Å.
Atoms (fractional coordinates):
Nb 0.0000 0.0000 0.0000  6 H 1.83
Ga 0.5000 0.5000 0.5000  12 H 2.58
H 0.0000 0.0000 0.5000  2 Nb 1.83
H 0.0000 0.5000 0.0000  2 Nb 1.83
H 0.5000 0.0000 0.0000  2 Nb 1.83

Entry 9:
The following is a DFT calculation (GGA-PBE) of ReNiTe2Br after structural relaxation.

E_tot in eV/atom: -4.4813
Size of the total moment in μB/atom: 0.070
E_form (uncorrected) in kcal/mol of atoms: 17.43

Cell: 5.1846 5.1846 4.7540 Å, 90.00 90.00 90.00°
Last column: nearest neighbours and their distance in Å.
Atoms (fractional coordinates):
Re 0.0000 0.0000 0.0000  2 Ni 2.38, 4 Te 2.59
Ni 0.0000 0.0000 0.5000  2 Re 2.38
Te 0.0000 0.5000 0.0000  2 Re 2.59
Te 0.5000 0.0000 0.0000  2 Re 2.59
Br 0.5000 0.5000 0.5000  8 Te 3.52, 4 Ni 3.67

Entry 10:
The following is a DFT calculation (GGA-PBE) of Na2LiF after structural relaxation.

E_tot in eV/atom: -2.7523
Energy relative to the lowest polymorph listed for this composition in kcal/mol of atoms: 0.00
Size of the total moment in μB/atom: 0.000
E_form (uncorrected) in kcal/mol of atoms: -26.44

Cell: 6.7174 6.7174 6.7174 Å, 117.70 117.70 94.03°
Last column: nearest neighbours and their distance in Å.
Atoms (fractional coordinates):
Na 0.3750 0.0297 0.1547  2 F 2.18
Na 0.7797 0.6250 0.6547  2 F 2.18
Na 0.8750 0.2203 0.8453  2 F 2.18
Na 0.9703 0.1250 0.3453  2 F 2.18
Li 0.2500 0.7500 0.5000  8 Na 3.50-3.91
Li 0.5000 0.5000 0.0000  8 Na 3.50-3.91
F 0.0000 0.0000 0.0000  4 Na 2.18
F 0.7500 0.2500 0.5000  4 Na 2.18

Entry 11:
The following is a DFT calculation (GGA-PBE) of YRuPt after structural relaxation.

E_tot in eV/atom: -6.9572
Energy relative to the lowest polymorph listed for this composition in kcal/mol of atoms: 18.16
Size of the total moment in μB/atom: 0.000
Calculated formation energy in eV/atom: 0.303

Cell: 4.5144 4.5144 4.5144 Å, 60.00 60.00 60.00°
Last column: nearest neighbours and their distance in Å.
Atoms (fractional coordinates):
Y 0.0000 0.0000 0.0000  4 Ru 2.76, 4 Pt 2.76
Ru 0.7500 0.7500 0.7500  4 Y 2.76
Pt 0.2500 0.2500 0.2500  4 Y 2.76

Entry 12:
The following is a DFT calculation (GGA-PBE) of CdIn2Re after structural relaxation.

E_tot in eV/atom: -4.1703
Size of the total moment in μB/atom: 0.000
Calculated formation energy in eV/atom: 0.540

Cell: 5.2952 5.2952 5.4275 Å, 97.81 97.81 32.17°
Last column: nearest neighbours and their distance in Å.
Atoms (fractional coordinates):
Cd 0.0000 0.0000 0.0000  2 Cd 2.93, 6 In 2.97-3.22, 4 Re 3.09
In 0.2355 0.2355 0.7346  6 In 2.93-3.21, 3 Re 2.94-3.14, 3 Cd 2.97-3.22
In 0.7645 0.7645 0.2654  6 In 2.93-3.21, 3 Re 2.94-3.14, 3 Cd 2.97-3.22
Re 0.5000 0.5000 0.5000  2 Re 2.93, 6 In 2.94-3.14, 4 Cd 3.09